# 1
Density functional theory data (PBE-GGA) for CaTaSb2 after structural relaxation.

Lattice parameters (Å, degrees): 10.614 3.728 4.920 90.00 90.56 90.00
Positions (direct):
Ca  0.000  0.000  0.000
Ca  0.500  0.500  0.000
Ta  0.249  0.500  0.497
Ta  0.749  0.000  0.497
Sb  0.270  0.000  0.995
Sb  0.467  0.000  0.499
Sb  0.770  0.500  0.995
Sb  0.967  0.500  0.499

Computed properties:
Magnetization: 0.0 μB per formula unit
V: 194.69 Å³ per cell
Energy above the most stable polymorph in this dataset: 26.77 kJ per mole of atoms
Formation energy from raw total energies: -0.1 eV/f.u.
Space group: No. 8

# 2
Density functional theory data (PBE-GGA) for Ba2CdNCl after structural relaxation.

Lattice parameters (Å, degrees): 5.448 5.448 5.465 90.00 90.00 90.00
Positions (direct):
Ba  0.000  0.500  0.000
Ba  0.500  0.000  0.000
Cd  0.000  0.000  0.500
N  0.500  0.500  0.000
Cl  0.500  0.500  0.500

Computed properties:
Magnetization: 0.0 μB per formula unit
V: 162.21 Å³ per cell
Formation energy from raw total energies: -1.2 eV/f.u.
Space group: No. 123

# 3
Density functional theory data (PBE-GGA) for Zr2TcH6 after structural relaxation.

Lattice parameters (Å, degrees): 5.760 5.760 3.243 106.20 106.20 46.89
Positions (direct):
Zr  0.163  0.163  0.164
Zr  0.837  0.837  0.836
Tc  0.500  0.500  0.500
H  0.113  0.567  0.339
H  0.281  0.719  0.000
H  0.433  0.887  0.661
H  0.567  0.113  0.339
H  0.719  0.281  0.000
H  0.887  0.433  0.661

Computed properties:
Magnetization: 0.0 μB per formula unit
V: 74.82 Å³ per cell
Energy above the most stable polymorph in this dataset: 0.00 kJ per mole of atoms
Space group: No. 12

Q: Number 2 is which compound?
A: Ba2CdNCl

Q: V of number 1 (CaTaSb2)?
A: 194.69 Å³ per cell